Material: K5IBr8
Method: DFT, GGA-PBE
State: relaxed

Values from the calculation:
As for the uncorrected energy: -2.67 eV per atom.

The structure in POSCAR format:
```
K5IBr8
1.0
-4.919 4.919 5.424
4.919 -4.919 5.424
4.919 4.919 -5.424
K I Br
5 1 8
direct
0.000 0.000 0.000
0.258 0.682 0.157
0.318 0.475 0.576
0.525 0.101 0.843
0.899 0.742 0.424
0.750 0.250 0.500
0.045 0.243 0.746
0.196 0.777 0.804
0.223 0.027 0.419
0.497 0.300 0.254
0.608 0.804 0.581
0.700 0.955 0.197
0.757 0.503 0.803
0.973 0.392 0.196
```

=====

Material: K4IBr2
Method: DFT, GGA-PBE
State: relaxed

Values from the calculation:
The calculation puts the relative energy among the computed polymorphs at 1.27 eV per formula unit. The density of states at the Fermi level is 1.7 states/eV per cell. As for the uncorrected energy: -2.54 eV per atom.

The structure in POSCAR format:
```
K4IBr2
1.0
-3.260 3.260 8.684
3.260 -3.260 8.684
3.260 3.260 -8.684
K I Br
4 1 2
direct
0.000 0.500 0.500
0.210 0.210 0.000
0.500 0.000 0.500
0.790 0.790 0.000
0.000 0.000 0.000
0.390 0.390 0.000
0.610 0.610 0.000
```

=====

Material: KI2Br
Method: DFT, GGA-PBE
State: relaxed

Values from the calculation:
The density of states at the Fermi level is 7.3 states/eV per cell. As for the uncorrected energy: -1.85 eV per atom.

The structure in POSCAR format:
```
KI2Br
1.0
0.000 4.271 4.271
4.271 0.000 4.271
4.271 4.271 0.000
K I Br
1 2 1
direct
0.000 0.000 0.000
0.250 0.250 0.250
0.750 0.750 0.750
0.500 0.500 0.500
```

=====

Material: K4I3Br
Method: DFT, GGA-PBE
State: relaxed

Values from the calculation:
The density of states at the Fermi level is 0.0 states/eV per cell. As for the uncorrected energy: -2.88 eV per atom.

The structure in POSCAR format:
```
K4I3Br
1.0
5.023 -7.053 0.000
5.023 7.053 0.000
0.000 0.000 4.947
K I Br
4 3 1
direct
0.237 0.237 0.500
0.244 0.756 0.000
0.756 0.244 0.000
0.763 0.763 0.500
0.000 0.500 0.500
0.500 0.000 0.500
0.500 0.500 0.000
0.000 0.000 0.000
```

=====

Material: K2IBr
Method: DFT, GGA-PBE
State: relaxed

Values from the calculation:
The calculation puts the relative energy among the computed polymorphs at 0.00 eV per formula unit. The density of states at the Fermi level is 0.0 states/eV per cell. As for the uncorrected energy: -2.96 eV per atom.

The structure in POSCAR format:
```
K2IBr
1.0
4.834 0.000 0.000
0.000 6.970 0.000
0.000 0.000 9.906
K I Br
4 2 2
direct
0.250 0.250 0.111
0.250 0.250 0.642
0.750 0.750 0.358
0.750 0.750 0.889
0.250 0.750 0.627
0.750 0.250 0.373
0.250 0.750 0.120
0.750 0.250 0.880
```

=====

Material: K8I5Br3
Method: DFT, GGA-PBE
State: relaxed

Values from the calculation:
The density of states at the Fermi level is 0.0 states/eV per cell. As for the uncorrected energy: -2.92 eV per atom.

The structure in POSCAR format:
```
K8I5Br3
1.0
4.926 2.844 8.141
-4.926 2.844 8.141
0.000 -5.688 8.141
K I Br
8 5 3
direct
0.239 0.750 0.750
0.244 0.244 0.244
0.250 0.250 0.761
0.250 0.761 0.250
0.750 0.239 0.750
0.750 0.750 0.239
0.756 0.756 0.756
0.761 0.250 0.250
0.000 0.000 0.000
0.000 0.500 0.500
0.500 0.000 0.500
0.500 0.500 0.000
0.500 0.500 0.500
0.000 0.000 0.500
0.000 0.500 0.000
0.500 0.000 0.000
```

=====

Material: K3I2Br6
Method: DFT, GGA-PBE
State: relaxed

Values from the calculation:
The density of states at the Fermi level is 3.9 states/eV per cell. As for the uncorrected energy: -2.42 eV per atom.

The structure in POSCAR format:
```
K3I2Br6
1.0
4.781 0.000 0.000
-0.557 9.025 0.000
-2.154 -3.088 12.567
K I Br
3 2 6
direct
0.000 0.000 0.000
0.177 0.350 0.303
0.823 0.650 0.697
0.370 0.793 0.342
0.630 0.207 0.658
0.010 0.047 0.739
0.239 0.383 0.571
0.412 0.800 0.853
0.588 0.200 0.147
0.761 0.617 0.429
0.990 0.953 0.261
```

=====

Material: K3IBr4
Method: DFT, GGA-PBE
State: relaxed

Values from the calculation:
The density of states at the Fermi level is 3.5 states/eV per cell. As for the uncorrected energy: -2.63 eV per atom.

The structure in POSCAR format:
```
K3IBr4
1.0
6.314 0.000 0.000
0.000 12.137 0.000
0.000 0.000 9.383
K I Br
6 2 8
direct
0.250 0.028 0.153
0.250 0.472 0.153
0.250 0.750 0.593
0.750 0.250 0.407
0.750 0.528 0.847
0.750 0.972 0.847
0.250 0.250 0.784
0.750 0.750 0.216
0.250 0.250 0.332
0.250 0.518 0.802
0.250 0.750 0.225
0.250 0.982 0.802
0.750 0.018 0.198
0.750 0.250 0.775
0.750 0.482 0.198
0.750 0.750 0.668
```

=====

Material: K5I4Br
Method: DFT, GGA-PBE
State: relaxed

Values from the calculation:
The density of states at the Fermi level is 0.0 states/eV per cell. As for the uncorrected energy: -2.87 eV per atom.

The structure in POSCAR format:
```
K5I4Br
1.0
-2.476 3.543 12.594
2.476 -3.543 12.594
2.476 3.543 -12.594
K I Br
5 4 1
direct
0.000 0.000 0.000
0.201 0.201 0.000
0.408 0.408 0.000
0.592 0.592 0.000
0.799 0.799 0.000
0.099 0.599 0.500
0.303 0.803 0.500
0.697 0.197 0.500
0.901 0.401 0.500
0.500 0.000 0.500
```

=====

Material: K6IBr4
Method: DFT, GGA-PBE
State: relaxed

Values from the calculation:
The density of states at the Fermi level is 3.2 states/eV per cell. As for the uncorrected energy: -2.83 eV per atom.

The structure in POSCAR format:
```
K6IBr4
1.0
2.385 -8.006 0.000
2.385 8.006 0.000
0.000 0.000 24.619
K I Br
12 2 8
direct
0.000 0.000 0.000
0.000 0.000 0.500
0.171 0.829 0.750
0.273 0.727 0.080
0.273 0.727 0.420
0.465 0.535 0.664
0.465 0.535 0.836
0.535 0.465 0.164
0.535 0.465 0.336
0.727 0.273 0.580
0.727 0.273 0.920
0.829 0.171 0.250
0.154 0.846 0.250
0.846 0.154 0.750
0.097 0.903 0.619
0.097 0.903 0.881
0.364 0.636 0.545
0.364 0.636 0.955
0.636 0.364 0.045
0.636 0.364 0.455
0.903 0.097 0.119
0.903 0.097 0.381
```

=====

Material: K2IBr
Method: DFT, GGA-PBE
State: relaxed

Values from the calculation:
The calculation puts the relative energy among the computed polymorphs at 0.32 eV per formula unit. The density of states at the Fermi level is 0.0 states/eV per cell. As for the uncorrected energy: -2.88 eV per atom.

The structure in POSCAR format:
```
K2IBr
1.0
-4.356 4.356 5.094
4.356 -4.356 5.094
4.356 4.356 -5.094
K I Br
4 2 2
direct
0.102 0.625 0.977
0.375 0.352 0.477
0.648 0.125 0.023
0.875 0.898 0.523
0.250 0.750 0.500
0.500 0.500 0.000
0.000 0.000 0.000
0.750 0.250 0.500
```

=====

Material: K3IBr
Method: DFT, GGA-PBE
State: relaxed

Values from the calculation:
The calculation puts the relative energy among the computed polymorphs at 0.00 eV per formula unit. The density of states at the Fermi level is 1.5 states/eV per cell. As for the uncorrected energy: -2.37 eV per atom.

The structure in POSCAR format:
```
K3IBr
1.0
6.406 0.000 0.000
0.000 6.406 0.000
0.000 0.000 6.406
K I Br
3 1 1
direct
0.000 0.000 0.500
0.000 0.500 0.000
0.500 0.000 0.000
0.500 0.500 0.500
0.000 0.000 0.000
```

=====

Material: KLa2IBr
Method: DFT, GGA-PBE
State: relaxed

Values from the calculation:
The density of states at the Fermi level is 7.4 states/eV per cell. As for the uncorrected energy: -3.20 eV per atom.

The structure in POSCAR format:
```
KLa2IBr
1.0
5.726 0.000 0.000
0.000 5.726 0.000
0.000 0.000 6.525
K La I Br
1 2 1 1
direct
0.000 0.000 0.000
0.000 0.500 0.500
0.500 0.000 0.500
0.500 0.500 0.000
0.000 0.000 0.500
```

=====

Material: KLiIBr
Method: DFT, GGA-PBE
State: relaxed

Values from the calculation:
The density of states at the Fermi level is 0.0 states/eV per cell. As for the uncorrected energy: -3.01 eV per atom.

The structure in POSCAR format:
```
KLiIBr
1.0
4.702 0.000 0.000
-2.351 4.072 0.000
0.000 0.000 7.720
K Li I Br
1 1 1 1
direct
0.000 0.000 0.000
0.667 0.333 0.529
0.333 0.667 0.675
0.667 0.333 0.213
```

=====

Material: K3Li2I4Br2
Method: DFT, GGA-PBE
State: relaxed

Values from the calculation:
The density of states at the Fermi level is 5.5 states/eV per cell. As for the uncorrected energy: -2.77 eV per atom.

The structure in POSCAR format:
```
K3Li2I4Br2
1.0
-2.717 2.717 14.471
2.717 -2.717 14.471
2.717 2.717 -14.471
K Li I Br
3 2 4 2
direct
0.000 0.000 0.000
0.186 0.186 0.000
0.814 0.814 0.000
0.382 0.382 0.000
0.618 0.618 0.000
0.085 0.585 0.500
0.415 0.915 0.500
0.585 0.085 0.500
0.915 0.415 0.500
0.298 0.298 0.000
0.702 0.702 0.000
```

=====

Material: KLiI2Br6
Method: DFT, GGA-PBE
State: relaxed

Values from the calculation:
The density of states at the Fermi level is 1.5 states/eV per cell. As for the uncorrected energy: -2.27 eV per atom.

The structure in POSCAR format:
```
KLiI2Br6
1.0
6.053 0.000 0.000
2.971 7.766 0.000
0.872 2.972 8.331
K Li I Br
1 1 2 6
direct
0.000 0.000 0.000
0.608 0.387 0.494
0.338 0.261 0.257
0.663 0.783 0.717
0.161 0.785 0.727
0.216 0.577 0.326
0.496 0.940 0.205
0.506 0.124 0.736
0.821 0.438 0.703
0.836 0.264 0.266
```

=====

Material: KLi2IBr2
Method: DFT, GGA-PBE
State: relaxed

Values from the calculation:
The density of states at the Fermi level is 0.0 states/eV per cell. As for the uncorrected energy: -3.11 eV per atom.

The structure in POSCAR format:
```
KLi2IBr2
1.0
6.947 0.000 0.000
0.000 6.358 0.000
-3.365 0.000 9.497
K Li I Br
2 4 2 4
direct
0.122 0.250 0.380
0.878 0.750 0.620
0.390 0.005 0.822
0.390 0.495 0.822
0.610 0.505 0.178
0.610 0.995 0.178
0.282 0.750 0.017
0.718 0.250 0.983
0.101 0.250 0.703
0.423 0.750 0.646
0.577 0.250 0.354
0.899 0.750 0.297
```

=====

Material: K3Li2I2Br4
Method: DFT, GGA-PBE
State: relaxed

Values from the calculation:
The density of states at the Fermi level is 14.2 states/eV per cell. As for the uncorrected energy: -2.89 eV per atom.

The structure in POSCAR format:
```
K3Li2I2Br4
1.0
-2.637 2.637 13.535
2.637 -2.637 13.535
2.637 2.637 -13.535
K Li I Br
3 2 2 4
direct
0.000 0.000 0.000
0.163 0.163 0.000
0.837 0.837 0.000
0.400 0.400 0.000
0.600 0.600 0.000
0.293 0.293 0.000
0.707 0.707 0.000
0.082 0.582 0.500
0.418 0.918 0.500
0.582 0.082 0.500
0.918 0.418 0.500
```

=====

Material: KMgI2Br
Method: DFT, GGA-PBE
State: relaxed

Values from the calculation:
The calculation puts the relative energy among the computed polymorphs at 0.24 eV per formula unit. The density of states at the Fermi level is 0.0 states/eV per cell. As for the uncorrected energy: -2.75 eV per atom.

The structure in POSCAR format:
```
KMgI2Br
1.0
5.909 0.000 0.000
0.000 5.909 0.000
0.000 0.000 5.269
K Mg I Br
1 1 2 1
direct
0.000 0.000 0.000
0.500 0.500 0.500
0.000 0.500 0.500
0.500 0.000 0.500
0.500 0.500 0.000
```

=====

Material: K2MgI3Br
Method: DFT, GGA-PBE
State: relaxed

Values from the calculation:
The density of states at the Fermi level is 0.0 states/eV per cell. As for the uncorrected energy: -2.78 eV per atom.

The structure in POSCAR format:
```
K2MgI3Br
1.0
-2.682 2.910 8.971
2.682 -2.910 8.971
2.682 2.910 -8.971
K Mg I Br
2 1 3 1
direct
0.139 0.139 0.000
0.861 0.861 0.000
0.500 0.500 0.000
0.000 0.500 0.500
0.336 0.336 0.000
0.664 0.664 0.000
0.500 0.000 0.500
```

=====

Material: KMgI2Br
Method: DFT, GGA-PBE
State: relaxed

Values from the calculation:
The calculation puts the relative energy among the computed polymorphs at 0.00 eV per formula unit. The density of states at the Fermi level is 0.0 states/eV per cell. As for the uncorrected energy: -2.80 eV per atom.

The structure in POSCAR format:
```
KMgI2Br
1.0
8.904 0.000 0.000
0.000 4.429 0.000
-2.941 0.000 10.091
K Mg I Br
2 2 4 2
direct
0.193 0.250 0.416
0.807 0.750 0.584
0.362 0.250 0.836
0.638 0.750 0.164
0.308 0.750 0.009
0.443 0.750 0.666
0.557 0.250 0.334
0.692 0.250 0.991
0.074 0.250 0.693
0.926 0.750 0.307
```

=====

Material: K2MnI2Br4
Method: DFT, GGA-PBE
State: relaxed

Values from the calculation:
The density of states at the Fermi level is 0.9 states/eV per cell. As for the uncorrected energy: -3.35 eV per atom.

The structure in POSCAR format:
```
K2MnI2Br4
1.0
-3.798 3.798 5.440
3.798 -3.798 5.440
3.798 3.798 -5.440
K Mn I Br
2 1 2 4
direct
0.250 0.750 0.500
0.750 0.250 0.500
0.000 0.000 0.000
0.250 0.250 0.000
0.750 0.750 0.000
0.229 0.229 0.457
0.229 0.771 0.000
0.771 0.229 0.000
0.771 0.771 0.543
```

=====

no.,E_form (uncorrected) (eV/atom)
1,-1.21
2,-1.21
3,-0.38
4,-1.54
5,-1.61
6,-1.58
7,-0.92
8,-1.19
9,-1.53
10,-1.49
11,-1.53
12,-1.07
13,-0.37
14,-1.45
15,-1.26
16,-0.66
17,-1.47
18,-1.35
19,-1.26
20,-1.34
21,-1.31
22,-1.00